18
Lattice="4.6462 0.0007 0.0000 -2.3092 4.0522 0.0000 0.0000 0.0000 12.9187" Properties=species:S:1:pos:R:3 comment="NbVSi4 SCAN single point on PBEsol structure" magnetic_moment_mub_per_fu=0.00 vol_a3_per_atom=13.5 raw_formation_energy_kj_per_mol_atoms=-43 e_tot_ev_per_atom=-15.56 pbc="T T T"
Si 1.1925 3.4151 9.6462
Si 2.3600 2.7378 1.1362
Si 1.1984 3.4291 3.1883
Si 1.1445 0.6378 9.6462
Si 3.5174 0.6339 11.9067
Si -1.1804 3.4190 11.9067
Si -1.1713 3.3924 5.3622
Si 3.5083 0.6605 5.3622
Si 1.1386 0.6238 3.1883
Si 2.3361 2.7677 7.5166
Si -0.0230 1.3151 1.1362
Si 0.0009 1.2852 7.5166
V 2.3231 0.0004 1.0967
V -1.1546 2.0261 3.2363
V 2.3231 0.0004 7.5078
Nb 1.1685 2.0265 11.8627
Nb 1.1685 2.0265 5.3533
Nb -1.1546 2.0261 9.6991

***

4
Lattice="-1.1144 -2.7401 -0.7986 2.1297 -0.2275 -2.1910 4.2000 -2.9884 4.3929" Properties=species:S:1:pos:R:3 comment="CrTeW2 SCAN single point on PBEsol structure" magnetic_moment_mub_per_fu=0.00 vol_a3_per_atom=15.9 raw_formation_energy_kj_per_mol_atoms=61 e_tot_ev_per_atom=-48.12 pbc="T T T"
Cr 0.5077 -1.4838 -1.4948
W 3.2908 -2.3415 3.4419
W 0.9092 -0.6469 0.9509
Te 2.6077 -2.9780 0.7016

***

4
Lattice="-3.6739 2.8727 1.3671 -3.8561 -1.8996 2.2674 -0.7426 0.9178 4.7144" Properties=species:S:1:pos:R:3 comment="Y2FeSb SCAN single point on PBEsol structure" magnetic_moment_mub_per_fu=0.62 vol_a3_per_atom=20.3 raw_formation_energy_kj_per_mol_atoms=9 e_tot_ev_per_atom=-27.68 pbc="T T T"
Sb -6.2044 1.4182 6.2616
Y 0.0000 0.0000 0.0000
Y -2.0681 0.4727 2.0872
Fe -4.1363 0.9455 4.1744

***

4
Lattice="-1.9594 -2.7751 1.0155 3.2860 0.4087 1.2674 -2.2630 3.3497 4.7874" Properties=species:S:1:pos:R:3 comment="TiAs SCAN single point on PBEsol structure" magnetic_moment_mub_per_fu=0.00 vol_a3_per_atom=17.1 formation_energy_kj_per_mol_atoms=-73 e_tot_ev_per_atom=-18.87 pbc="T T T"
Ti -1.9082 0.7985 4.6900
Ti 0.9718 0.1849 2.3803
As -1.1315 1.6749 2.3937
As 0.0000 0.0000 0.0000

***

4
Lattice="4.3165 0.0000 0.0000 0.0000 5.1499 0.0000 -2.1582 -2.5750 4.3425" Properties=species:S:1:pos:R:3 comment="LaZnBr2 SCAN single point on PBEsol structure" magnetic_moment_mub_per_fu=0.00 e_above_lowest_polymorph_mev_per_atom=0 vol_a3_per_atom=24.1 raw_formation_energy_kj_per_mol_atoms=-109 e_tot_ev_per_atom=-25.01 pbc="T T T"
Br 0.0000 0.0000 2.3536
Br 2.1582 2.5749 1.9889
Zn 0.0000 2.5750 0.0000
La 2.1582 0.0000 0.0000

***

4
Lattice="2.6131 0.0000 0.0000 0.0000 4.6845 -0.0474 0.0000 -1.8282 4.3132" Properties=species:S:1:pos:R:3 comment="Cr2FeHg SCAN single point on PBEsol structure" magnetic_moment_mub_per_fu=2.20 vol_a3_per_atom=13.1 formation_energy_kj_per_mol_atoms=65 e_tot_ev_per_atom=-30.09 pbc="T T T"
Cr 0.0000 2.3422 -0.0237
Cr 0.0000 -0.9141 2.1566
Hg 1.3065 0.0000 0.0000
Fe 1.3065 1.4281 2.1329

***

5
Lattice="4.8628 0.0000 0.0000 0.0000 4.8628 0.0000 -2.4314 -2.4314 6.4325" Properties=species:S:1:pos:R:3 comment="CsMg2Hg2 SCAN single point on PBEsol structure" magnetic_moment_mub_per_fu=0.00 vol_a3_per_atom=30.4 formation_energy_kj_per_mol_atoms=-23 e_tot_ev_per_atom=-37.06 pbc="T T T"
Mg 2.4314 0.0000 3.2162
Mg 0.0000 2.4314 3.2162
Cs 0.0000 0.0000 0.0000
Hg 0.0000 0.0000 4.8321
Hg 2.4314 2.4314 1.6003

***

4
Lattice="2.6308 0.0000 0.0000 0.0000 2.6308 0.0000 0.0000 0.0000 7.7501" Properties=species:S:1:pos:R:3 comment="Cr2AgOs SCAN single point on PBEsol structure" magnetic_moment_mub_per_fu=0.00 vol_a3_per_atom=13.4 formation_energy_kj_per_mol_atoms=50 e_tot_ev_per_atom=-34.48 pbc="T T T"
Os 0.0000 0.0000 3.6228
Ag 1.3154 1.3154 5.8709
Cr 1.3154 1.3154 1.9332
Cr 0.0000 0.0000 0.1982

***

3
Lattice="4.2301 0.0000 0.0000 -2.1150 3.6633 0.0000 0.0000 0.0000 4.2899" Properties=species:S:1:pos:R:3 comment="SiPbAu SCAN single point on PBEsol structure" magnetic_moment_mub_per_fu=0.00 vol_a3_per_atom=22.2 raw_formation_energy_kj_per_mol_atoms=4 e_tot_ev_per_atom=-51.61 pbc="T T T"
Si 2.1150 1.2211 0.7139
Pb 0.0000 2.4422 2.8588
Au 0.0000 0.0000 0.7172

***

5
Lattice="-0.3775 0.7635 -3.8198 -0.0913 -3.8383 -0.7582 -5.2376 0.0215 0.5219" Properties=species:S:1:pos:R:3 comment="TlGaReC2 SCAN single point on PBEsol structure" magnetic_moment_mub_per_fu=1.96 vol_a3_per_atom=16.1 formation_energy_kj_per_mol_atoms=267 e_tot_ev_per_atom=-33.24 pbc="T T T"
Ga 0.0000 0.0000 0.0000
C -0.0457 -1.9192 -0.3791
C -0.1887 0.3818 -1.9099
Tl -2.6188 0.0107 0.2609
Re -2.8532 -1.5266 -2.0280

***

4
Lattice="3.1609 0.0000 0.0972 0.0000 3.3339 0.0000 -0.1580 0.0000 5.0849" Properties=species:S:1:pos:R:3 comment="ZrCuNi2 SCAN single point on PBEsol structure" magnetic_moment_mub_per_fu=0.00 vol_a3_per_atom=13.4 formation_energy_kj_per_mol_atoms=-13 e_tot_ev_per_atom=-19.70 pbc="T T T"
Ni -0.1549 0.0000 5.0399
Ni 1.5409 1.6670 1.2798
Zr 3.0830 0.0000 2.5768
Cu 1.4577 1.6670 4.0102

***

4
Lattice="-0.3190 2.1715 -2.0967 -2.5428 -1.3294 -0.9900 -3.3049 3.3576 3.9801" Properties=species:S:1:pos:R:3 comment="LiMgCu2 SCAN single point on PBEsol structure" magnetic_moment_mub_per_fu=0.00 vol_a3_per_atom=14.2 formation_energy_kj_per_mol_atoms=-1 e_tot_ev_per_atom=-9.45 pbc="T T T"
Mg -3.9961 3.0271 1.5460
Li -1.5054 1.5294 1.8129
Cu -0.1168 0.1187 0.1407
Cu -2.2008 1.2032 -0.6161